Entry 1:
# Nb2Zn3O8 SCAN PBEsol geometry
# ρ: 5.79 Mg/m³
# electronic total energy: -185.6 eV per formula unit
# formation energy (no corrections): -215 kJ/mol of atoms
data_Nb2Zn3O8
_chemical_formula_sum 'Nb8 Zn12 O32'
_cell_length_a 19.0719
_cell_length_b 5.9014
_cell_length_c 5.2002
_cell_angle_alpha 90.00
_cell_angle_beta 90.24
_cell_angle_gamma 90.00
_space_group_name_H-M_alt 'C 1 2/c 1'
_space_group_IT_number 15
loop_
_space_group_symop_operation_xyz
'x,y,z'
'-x,-y,-z'
'-x,y,-z+1/2'
'x,-y,z+1/2'
'x+1/2,y+1/2,z'
'-x+1/2,-y+1/2,-z'
'-x+1/2,y+1/2,-z+1/2'
'x+1/2,-y+1/2,z+1/2'
loop_
_atom_site_label
_atom_site_type_symbol
_atom_site_fract_x
_atom_site_fract_y
_atom_site_fract_z
Nb1 Nb 0.1144 0.1644 0.2606
Zn1 Zn 0.0000 0.3486 0.7500
Zn2 Zn 0.2219 0.3460 0.7595
O1 O 0.0581 0.3781 0.4168
O2 O 0.0688 0.1154 0.9211
O3 O 0.1809 0.1009 0.5568
O4 O 0.1930 0.3571 0.1289

Entry 2:
# IrRu3 SCAN PBEsol geometry
# ρ: 15.24 Mg/m³
# electronic total energy: -175.5 eV per formula unit
# formation energy from the elements: 0.0220 eV/atom
data_IrRu3
_chemical_formula_sum 'Ir1 Ru3'
_cell_length_a 2.6708
_cell_length_b 3.7796
_cell_length_c 5.3491
_cell_angle_alpha 90.00
_cell_angle_beta 90.00
_cell_angle_gamma 90.00
_space_group_name_H-M_alt 'P m m m'
_space_group_IT_number 47
loop_
_space_group_symop_operation_xyz
'x,y,z'
'-x,-y,-z'
'-x,-y,z'
'x,y,-z'
'x,-y,-z'
'-x,y,z'
'-x,y,-z'
'x,-y,z'
loop_
_atom_site_label
_atom_site_type_symbol
_atom_site_fract_x
_atom_site_fract_y
_atom_site_fract_z
Ir1 Ir 0.0000 0.0000 0.0000
Ru1 Ru 0.0000 0.0000 0.5000
Ru2 Ru 0.5000 0.5000 0.2538

Entry 3:
# BeH4NF3 SCAN PBEsol geometry
# ρ: 1.68 Mg/m³
# electronic total energy: -54.4 eV per formula unit
# ΔE to the lowest computed polymorph: 0 meV per atom
data_BeH4NF3
_chemical_formula_sum 'Be4 H16 N4 F12'
_cell_length_a 4.5499
_cell_length_b 5.6043
_cell_length_c 13.0680
_cell_angle_alpha 90.00
_cell_angle_beta 90.00
_cell_angle_gamma 90.00
_space_group_name_H-M_alt 'P 21 21 21'
_space_group_IT_number 19
loop_
_space_group_symop_operation_xyz
'x,y,z'
'-x+1/2,-y,z+1/2'
'x+1/2,-y+1/2,-z'
'-x,y+1/2,-z+1/2'
loop_
_atom_site_label
_atom_site_type_symbol
_atom_site_fract_x
_atom_site_fract_y
_atom_site_fract_z
Be1 Be 0.1773 0.1851 0.0623
H1 H 0.0213 0.7089 0.8822
H2 H 0.1022 0.2665 0.3846
H3 H 0.1778 0.9754 0.8622
H4 H 0.2121 0.7573 0.7713
N1 N 0.2046 0.7948 0.8503
F1 F 0.1593 0.7404 0.4596
F2 F 0.2091 0.9139 0.0778
F3 F 0.2166 0.6693 0.6533

ρ of number 1 (Nb2Zn3O8)? 5.79 Mg/m³